Material: Sn2TePb2
Method: DFT, GGA-PBE
State: relaxed

Lattice parameters (Å, degrees): 4.5276 4.5276 15.6177 90.00 90.00 90.00
Space group I4/mmm (No. 139)
Symmetry-distinct sites (fractional):
Sn (0.0000, 0.0000, 0.0940)
Te (0.0000, 0.0000, 0.5000)
Pb (0.0000, 0.5000, 0.2500)

Properties
Polymorph energy (0 for the lowest one), meV/atom: 144
Formation energy from raw total energies, eV/atom: 0.12